Record 1
Entry from the Alexandria database: crystalline BaTl2Pb at its relaxed geometry (PBE-GGA).

a b c (Å): 5.095 5.111 5.190
angles (deg): 90.00 90.00 90.00
Space group Pmmm (No. 47)
Asymmetric unit:
1 Ba 0.000 0.000 0.000 [1 per cell]
2 Tl 0.000 0.500 0.500 [1 per cell]
3 Tl 0.500 0.000 0.500 [1 per cell]
4 Pb 0.500 0.500 0.000 [1 per cell]

## Properties
The value obtained for the relative energy among the computed polymorphs is 0.031 eV/atom.

Record 2
Entry from the Alexandria database: crystalline Ba8Tl2Pb at its relaxed geometry (PBE-GGA).

a b c (Å): 21.332 6.086 8.664
angles (deg): 90.00 110.36 90.00
Space group C2/m (No. 12)
Asymmetric unit:
1 Ba 0.029 0.000 0.286 [4 per cell]
2 Ba 0.097 0.500 0.944 [4 per cell]
3 Ba 0.168 0.500 0.456 [4 per cell]
4 Ba 0.199 0.000 0.804 [4 per cell]
5 Tl 0.182 0.000 0.192 [4 per cell]
6 Pb 0.000 0.500 0.500 [2 per cell]

## Properties
The value obtained for the relative energy among the computed polymorphs is 0.000 eV/atom.

Record 3
Entry from the Alexandria database: crystalline Ba8Tl2Pb at its relaxed geometry (PBE-GGA).

a b c (Å): 5.903 9.783 17.549
angles (deg): 90.00 90.00 90.00
Space group Immm (No. 71)
Asymmetric unit:
1 Ba 0.000 0.000 0.141 [4 per cell]
2 Ba 0.000 0.220 0.342 [8 per cell]
3 Ba 0.000 0.318 0.000 [4 per cell]
4 Tl 0.000 0.500 0.191 [4 per cell]
5 Pb 0.000 0.500 0.500 [2 per cell]

## Properties
The value obtained for the relative energy among the computed polymorphs is 0.052 eV/atom.

Record 4
Entry from the Alexandria database: crystalline Ba2Tl6Pb at its relaxed geometry (PBE-GGA).

a b c (Å): 12.409 7.164 6.918
angles (deg): 90.00 90.09 90.00
Space group C2/m (No. 12)
Asymmetric unit:
1 Ba 0.167 0.000 0.346 [4 per cell]
2 Tl 0.090 0.231 0.836 [8 per cell]
3 Tl 0.179 0.500 0.165 [4 per cell]
4 Pb 0.000 0.500 0.500 [2 per cell]

no.,energy relative to the elements (eV/atom),total DFT energy (no corrections) (eV for the cell shown),magnetic moment (μB/atom)
1,-0.29,-11.5,0.0000
2,-0.29,-54.1,0.0782
3,-0.24,-52.9,0.0007
4,-0.26,-48.2,0.0000